<a>
An optimized crystal structure of LiTa3Rh, computed with PBE.

abc: 4.349 4.349 4.349
angles: 90.00 90.00 90.00
Element x y z (fractional)
1 Ta 0.000 0.000 0.500
2 Ta 0.500 0.000 0.000
3 Ta 0.000 0.500 0.000
4 Rh 0.500 0.500 0.500
5 Li 0.000 0.000 0.000

Values from the calculation:
The symmetry is No. 221.

=====

<b>
An optimized crystal structure of LiTa3Rh, computed with PBE.

abc: 4.844 4.844 4.844
angles: 90.00 90.00 90.00
Element x y z (fractional)
1 Rh 0.000 0.000 0.000
2 Ta 0.000 0.500 0.000
3 Ta 0.000 0.000 0.500
4 Ta 0.500 0.000 0.000
5 Li 0.500 0.500 0.500

Values from the calculation:
The symmetry is No. 221.

=====

Least stable: <b>

=====

<a>
An optimized crystal structure of Li2TcRh, computed with PBE.

abc: 2.792 2.792 7.479
angles: 90.00 90.00 90.00
Element x y z (fractional)
1 Tc 0.500 0.500 0.731
2 Li 0.500 0.500 0.270
3 Li 0.000 0.000 0.996
4 Rh 0.000 0.000 0.504

Values from the calculation:
The symmetry is No. 99.

=====

<b>
An optimized crystal structure of Li2TcRh, computed with PBE.

abc: 4.207 4.207 4.207
angles: 60.00 60.00 60.00
Element x y z (fractional)
1 Tc 0.000 0.000 0.000
2 Rh 0.500 0.500 0.500
3 Li 0.750 0.750 0.750
4 Li 0.250 0.250 0.250

Values from the calculation:
The symmetry is No. 225.

=====

Least stable: <b>

=====

<a>
An optimized crystal structure of Li2TcRh, computed with PBE.

abc: 2.623 2.623 9.194
angles: 90.00 90.00 117.39
Element x y z (fractional)
1 Tc 0.500 0.500 0.750
2 Li 0.000 0.000 0.490
3 Li 0.000 0.000 0.010
4 Rh 0.500 0.500 0.250

Values from the calculation:
The symmetry is No. 65.

=====

<b>
An optimized crystal structure of Li2TcRh, computed with PBE.

abc: 4.161 2.656 5.199
angles: 80.72 90.00 90.00
Element x y z (fractional)
1 Tc 0.500 0.788 0.700
2 Li 0.000 0.997 0.040
3 Li 0.500 0.357 0.223
4 Rh 0.000 0.358 0.537

Values from the calculation:
The symmetry is No. 6.

=====

Least stable: <a>

=====

<a>
An optimized crystal structure of LiTc2Rh2, computed with PBE.

abc: 3.934 3.934 6.129
angles: 71.28 71.28 90.00
Element x y z (fractional)
1 Rh 0.750 0.250 0.500
2 Rh 0.250 0.750 0.500
3 Tc 0.600 0.600 0.801
4 Tc 0.400 0.400 0.199
5 Li 0.000 0.000 0.000

Values from the calculation:
The symmetry is No. 139.

=====

<b>
An optimized crystal structure of LiTc2Rh2, computed with PBE.

abc: 7.600 7.600 2.688
angles: 90.00 90.00 90.00
Element x y z (fractional)
1 Rh 0.877 0.623 0.000
2 Rh 0.623 0.123 0.000
3 Rh 0.123 0.377 0.000
4 Rh 0.377 0.877 0.000
5 Li 0.000 0.000 0.000
6 Li 0.500 0.500 0.000
7 Tc 0.671 0.829 0.500
8 Tc 0.829 0.329 0.500
9 Tc 0.171 0.671 0.500
10 Tc 0.329 0.171 0.500

Values from the calculation:
The symmetry is No. 127.

=====

<c>
An optimized crystal structure of LiTc2Rh2, computed with PBE.

abc: 7.621 7.621 2.693
angles: 90.00 90.00 90.00
Element x y z (fractional)
1 Rh 0.828 0.328 0.500
2 Rh 0.328 0.172 0.500
3 Rh 0.172 0.672 0.500
4 Rh 0.672 0.828 0.500
5 Li 0.000 0.000 0.000
6 Li 0.500 0.500 0.000
7 Tc 0.381 0.881 0.000
8 Tc 0.619 0.119 0.000
9 Tc 0.881 0.619 0.000
10 Tc 0.119 0.381 0.000

Values from the calculation:
The symmetry is No. 127.

=====

Least stable: <a>

=====

<a>
An optimized crystal structure of Li2TcRh2, computed with PBE.

abc: 6.714 6.714 2.787
angles: 90.00 90.00 90.00
Element x y z (fractional)
1 Tc 0.000 0.000 0.000
2 Tc 0.500 0.500 0.000
3 Li 0.389 0.889 0.000
4 Li 0.111 0.389 0.000
5 Li 0.889 0.611 0.000
6 Li 0.611 0.111 0.000
7 Rh 0.309 0.191 0.500
8 Rh 0.809 0.309 0.500
9 Rh 0.691 0.809 0.500
10 Rh 0.191 0.691 0.500

Values from the calculation:
The symmetry is No. 127.

=====

<b>
An optimized crystal structure of Li2TcRh2, computed with PBE.

abc: 6.866 6.866 2.789
angles: 90.00 90.00 90.00
Element x y z (fractional)
1 Rh 0.652 0.152 0.000
2 Rh 0.348 0.848 0.000
3 Rh 0.848 0.652 0.000
4 Rh 0.152 0.348 0.000
5 Li 0.648 0.852 0.500
6 Li 0.852 0.352 0.500
7 Li 0.148 0.648 0.500
8 Li 0.352 0.148 0.500
9 Tc 0.500 0.500 0.000
10 Tc 0.000 0.000 0.000

Values from the calculation:
The symmetry is No. 127.

=====

Least stable: <b>

=====

<a>
An optimized crystal structure of LiTe4Rh, computed with PBE.

abc: 6.287 6.287 6.287
angles: 60.00 60.00 60.00
Element x y z (fractional)
1 Te 0.374 0.374 0.374
2 Te 0.374 0.877 0.374
3 Te 0.374 0.374 0.877
4 Te 0.877 0.374 0.374
5 Rh 0.000 0.000 0.000
6 Li 0.750 0.750 0.750

Values from the calculation:
The symmetry is No. 216.

=====

<b>
An optimized crystal structure of LiTe4Rh, computed with PBE.

abc: 6.661 6.602 6.809
angles: 90.00 88.24 90.00
Element x y z (fractional)
1 Rh 0.500 0.500 0.000
2 Rh 0.000 0.000 0.000
3 Te 0.616 0.611 0.632
4 Te 0.364 0.869 0.111
5 Te 0.136 0.369 0.889
6 Te 0.884 0.111 0.368
7 Te 0.384 0.389 0.368
8 Te 0.864 0.631 0.111
9 Te 0.116 0.889 0.632
10 Te 0.636 0.131 0.889
11 Li 0.000 0.500 0.500
12 Li 0.500 0.000 0.500

Values from the calculation:
The symmetry is No. 14.

=====

Least stable: <a>

=====

<a>
An optimized crystal structure of LiTiRh3, computed with PBE.

abc: 4.562 4.562 4.562
angles: 90.00 90.00 90.00
Element x y z (fractional)
1 Rh 0.500 0.000 0.000
2 Rh 0.000 0.000 0.500
3 Rh 0.000 0.500 0.000
4 Ti 0.000 0.000 0.000
5 Li 0.500 0.500 0.500

Values from the calculation:
The symmetry is No. 221.

=====

<b>
An optimized crystal structure of LiTiRh3, computed with PBE.

abc: 4.110 4.110 4.110
angles: 90.00 90.00 90.00
Element x y z (fractional)
1 Rh 0.500 0.000 0.000
2 Rh 0.000 0.500 0.000
3 Rh 0.000 0.000 0.500
4 Ti 0.500 0.500 0.500
5 Li 0.000 0.000 0.000

Values from the calculation:
The symmetry is No. 221.

=====

Least stable: <a>

=====

<a>
An optimized crystal structure of LiTiRh, computed with PBE.

abc: 3.198 3.198 4.860
angles: 109.20 109.20 90.00
Element x y z (fractional)
1 Li 0.624 0.624 0.248
2 Rh 0.292 0.292 0.584
3 Ti 0.934 0.934 0.867

Values from the calculation:
The symmetry is No. 107.

=====

<b>
An optimized crystal structure of LiTiRh, computed with PBE.

abc: 2.765 2.765 13.923
angles: 90.00 90.00 120.00
Element x y z (fractional)
1 Rh 0.280 0.560 0.500
2 Rh 0.609 0.218 0.000
3 Ti 0.276 0.552 0.158
4 Ti 0.276 0.552 0.842
5 Li 0.612 0.225 0.651
6 Li 0.612 0.225 0.349

Values from the calculation:
The symmetry is No. 38.

=====

Least stable: <b>

=====

<a>
An optimized crystal structure of Li2TiRh2, computed with PBE.

abc: 6.700 6.700 3.068
angles: 90.00 90.00 90.00
Element x y z (fractional)
1 Ti 0.000 0.000 0.000
2 Ti 0.500 0.500 0.000
3 Rh 0.840 0.660 0.000
4 Rh 0.340 0.840 0.000
5 Rh 0.660 0.160 0.000
6 Rh 0.160 0.340 0.000
7 Li 0.638 0.862 0.500
8 Li 0.862 0.362 0.500
9 Li 0.362 0.138 0.500
10 Li 0.138 0.638 0.500

Values from the calculation:
The symmetry is No. 127.

=====

<b>
An optimized crystal structure of Li2TiRh2, computed with PBE.

abc: 6.565 6.565 2.987
angles: 90.00 90.00 90.00
Element x y z (fractional)
1 Li 0.891 0.609 0.000
2 Li 0.391 0.891 0.000
3 Li 0.109 0.391 0.000
4 Li 0.609 0.109 0.000
5 Rh 0.693 0.807 0.500
6 Rh 0.807 0.307 0.500
7 Rh 0.193 0.693 0.500
8 Rh 0.307 0.193 0.500
9 Ti 0.000 0.000 0.000
10 Ti 0.500 0.500 0.000

Values from the calculation:
The symmetry is No. 127.

=====

<c>
An optimized crystal structure of Li2TiRh2, computed with PBE.

abc: 2.988 3.021 8.855
angles: 80.18 90.00 90.00
Element x y z (fractional)
1 Ti 0.000 0.000 0.000
2 Rh 0.500 0.587 0.827
3 Rh 0.500 0.413 0.173
4 Li 0.000 0.180 0.641
5 Li 0.000 0.820 0.359

Values from the calculation:
The symmetry is No. 65.

=====

Least stable: <a>

=====

<a>
An optimized crystal structure of LiTiRh2, computed with PBE.

abc: 4.256 4.256 4.256
angles: 60.00 60.00 60.00
Element x y z (fractional)
1 Li 0.000 0.000 0.000
2 Ti 0.500 0.500 0.500
3 Rh 0.250 0.250 0.250
4 Rh 0.750 0.750 0.750

Values from the calculation:
The symmetry is No. 225.

=====

<b>
An optimized crystal structure of LiTiRh2, computed with PBE.

abc: 3.091 4.200 4.200
angles: 90.00 90.00 90.00
Element x y z (fractional)
1 Rh 0.000 0.000 0.500
2 Rh 0.000 0.500 0.000
3 Ti 0.500 0.000 0.000
4 Li 0.500 0.500 0.500

Values from the calculation:
The symmetry is No. 123.

=====

Least stable: <b>

=====

<a>
An optimized crystal structure of LiTiRh2, computed with PBE.

abc: 3.054 3.054 5.870
angles: 90.00 90.00 90.00
Element x y z (fractional)
1 Rh 0.000 0.000 0.747
2 Rh 0.000 0.000 0.253
3 Ti 0.500 0.500 0.000
4 Li 0.500 0.500 0.500

Values from the calculation:
The symmetry is No. 123.

=====

<b>
An optimized crystal structure of LiTiRh2, computed with PBE.

abc: 6.571 6.571 5.424
angles: 52.72 52.72 90.00
Element x y z (fractional)
1 Rh 0.375 0.367 0.750
2 Rh 0.875 0.883 0.750
3 Rh 0.117 0.625 0.250
4 Rh 0.633 0.125 0.250
5 Li 0.250 0.750 0.500
6 Li 0.500 0.500 0.000
7 Ti 0.750 0.250 0.500
8 Ti 0.000 0.000 0.000

Values from the calculation:
The symmetry is No. 122.

=====

Least stable: <b>

=====

<a>
An optimized crystal structure of LiTlRh, computed with PBE.

abc: 4.547 4.547 5.912
angles: 90.00 90.00 90.00
Element x y z (fractional)
1 Rh 0.772 0.599 0.487
2 Rh 0.772 0.599 0.987
3 Tl 0.272 0.599 0.736
4 Tl 0.772 0.099 0.236
5 Li 0.773 0.099 0.736
6 Li 0.272 0.599 0.236

Values from the calculation:
The symmetry is No. 131.

=====

<b>
An optimized crystal structure of LiTlRh, computed with PBE.

abc: 4.949 4.949 4.949
angles: 142.93 135.94 58.91
Element x y z (fractional)
1 Tl 0.670 0.670 0.000
2 Rh 0.340 0.340 0.000
3 Li 0.990 0.990 0.000

Values from the calculation:
The symmetry is No. 44.

=====

<c>
An optimized crystal structure of LiTlRh, computed with PBE.

abc: 4.408 5.334 5.334
angles: 66.99 65.60 65.60
Element x y z (fractional)
1 Rh 0.823 0.677 0.677
2 Rh 0.177 0.323 0.323
3 Tl 0.500 0.747 0.253
4 Tl 0.500 0.253 0.747
5 Li 0.829 0.171 0.171
6 Li 0.171 0.829 0.829

Values from the calculation:
The symmetry is No. 71.

=====

Least stable: <c>